No. 1
DFT (GGA-PBE) results for an optimized crystal structure of Tb3Pr3TmS8.

Structure (POSCAR):
```
Tb3Pr3TmS8
1.0
3.975 2.295 6.618
-3.975 2.295 6.618
0.000 -4.590 6.618
Tb Pr Tm S
3 3 1 8
Cartesian
-1.987 -1.147 6.618
-1.987 1.147 13.236
0.000 2.295 6.618
-3.975 0.000 9.927
-1.987 1.147 3.309
1.987 1.147 3.309
0.000 0.000 0.000
0.000 -2.318 8.154
-2.008 1.159 8.154
-2.008 -1.159 11.699
0.000 0.000 5.070
0.000 0.000 14.783
2.008 1.159 8.154
2.008 -1.159 11.699
0.000 2.318 11.699
```

Properties
Space group = R-3m (166)
N(E_F) = 0.47 states/eV/atom
VASP energy = -96.5 eV per cell

No. 2
DFT (GGA-PBE) results for an optimized crystal structure of TbPr2TmS4.

Structure (POSCAR):
```
TbPr2TmS4
1.0
6.850 0.000 0.000
0.000 3.927 0.000
-2.259 0.000 6.716
Tb Pr Tm S
1 2 1 4
Cartesian
0.000 0.000 0.000
-1.129 1.964 3.358
2.296 0.000 3.358
3.425 1.964 0.000
1.173 1.964 1.543
0.049 0.000 5.192
4.542 0.000 1.525
3.418 1.964 5.173
```

Properties
Space group = P2/m (10)
N(E_F) = 0.46 states/eV/atom
VASP energy = -51.2 eV per cell

No. 3
DFT (GGA-PBE) results for an optimized crystal structure of TbPr3Tm3S8.

Structure (POSCAR):
```
TbPr3Tm3S8
1.0
3.931 2.270 6.597
-3.931 2.270 6.597
0.000 -4.540 6.597
Tb Pr Tm S
1 3 3 8
Cartesian
0.000 0.000 0.000
-3.931 0.000 9.896
-1.966 1.135 3.299
1.966 1.135 3.299
-1.966 -1.135 6.597
-1.966 1.135 13.194
0.000 2.270 6.597
0.000 -2.215 8.130
-1.918 1.107 8.130
0.000 0.000 5.104
-1.918 -1.107 11.661
1.918 1.107 8.130
0.000 0.000 14.688
1.918 -1.107 11.661
0.000 2.215 11.661
```

Properties
Space group = R-3m (166)
N(E_F) = 0.45 states/eV/atom
VASP energy = -95.9 eV per cell

No. 4
DFT (GGA-PBE) results for an optimized crystal structure of Tb3Pr4TmS8.

Structure (POSCAR):
```
Tb3Pr4TmS8
1.0
3.968 2.291 6.681
-3.968 2.291 6.681
0.000 -4.582 6.681
Tb Pr Tm S
3 4 1 8
Cartesian
-1.984 -1.146 6.681
-1.984 1.146 13.362
0.000 2.291 6.681
-3.968 0.000 10.022
-1.984 1.146 3.341
1.984 1.146 3.341
0.000 0.000 10.022
0.000 0.000 0.000
0.000 -2.320 8.213
-2.009 1.160 8.213
-2.009 -1.160 11.830
0.000 0.000 5.130
0.000 0.000 14.913
2.009 1.160 8.213
2.009 -1.160 11.830
0.000 2.320 11.830
```

Properties
Space group = R-3m (166)
N(E_F) = 0.42 states/eV/atom
VASP energy = -102.6 eV per cell

No. 5
DFT (GGA-PBE) results for an optimized crystal structure of Tb4PrTm3S8.

Structure (POSCAR):
```
Tb4PrTm3S8
1.0
3.924 2.265 6.394
-3.924 2.265 6.394
0.000 -4.531 6.394
Tb Pr Tm S
4 1 3 8
Cartesian
0.000 0.000 0.000
-1.962 -1.133 6.394
-1.962 1.133 12.787
0.000 2.265 6.394
0.000 0.000 9.590
-3.924 0.000 9.590
-1.962 1.133 3.197
1.962 1.133 3.197
-2.028 -1.171 11.183
0.000 -2.342 7.998
-2.028 1.171 7.998
0.000 0.000 4.738
0.000 0.000 14.443
2.028 -1.171 11.183
0.000 2.342 11.183
2.028 1.171 7.998
```

Properties
Space group = R-3m (166)
N(E_F) = 0.52 states/eV/atom
VASP energy = -101.2 eV per cell

No. 6
DFT (GGA-PBE) results for an optimized crystal structure of TbPrTm2S4.

Structure (POSCAR):
```
TbPrTm2S4
1.0
6.758 0.000 0.000
0.000 3.868 0.000
-2.221 0.000 6.578
Tb Pr Tm S
1 1 2 4
Cartesian
0.000 0.000 0.000
3.379 1.934 0.000
-1.110 1.934 3.289
2.269 0.000 3.289
-0.022 0.000 4.804
1.093 1.934 1.740
3.444 1.934 4.838
4.559 0.000 1.774
```

Properties
Space group = P2/m (10)
N(E_F) = 0.49 states/eV/atom
VASP energy = -50.6 eV per cell

No. 7
DFT (GGA-PBE) results for an optimized crystal structure of Tb4PrTmS8.

Structure (POSCAR):
```
Tb4PrTmS8
1.0
4.065 2.347 6.600
-4.065 2.347 6.600
0.000 -4.693 6.600
Tb Pr Tm S
4 1 1 8
Cartesian
0.000 0.000 0.000
0.000 -2.361 10.745
-2.045 1.180 10.745
2.045 1.180 10.745
0.000 0.000 14.885
0.000 0.000 7.432
0.000 0.000 2.618
0.000 -2.185 5.780
-1.892 1.092 5.780
-1.825 -1.054 9.135
1.892 1.092 5.780
1.825 -1.054 9.135
0.000 2.108 9.135
0.000 0.000 12.180
```

Properties
Space group = R3m (160)
N(E_F) = 0.59 states/eV/atom
VASP energy = -87.8 eV per cell

No. 8
DFT (GGA-PBE) results for an optimized crystal structure of TbPr4Tm3S8.

Structure (POSCAR):
```
TbPr4Tm3S8
1.0
3.931 2.269 6.703
-3.931 2.269 6.703
0.000 -4.539 6.703
Tb Pr Tm S
1 4 3 8
Cartesian
0.000 0.000 0.000
-3.931 0.000 10.054
-1.965 1.135 3.351
1.965 1.135 3.351
0.000 0.000 10.054
-1.965 -1.135 6.703
-1.965 1.135 13.406
0.000 2.269 6.703
0.000 -2.242 8.220
-1.941 1.121 8.220
0.000 0.000 5.202
-1.941 -1.121 11.888
1.941 1.121 8.220
0.000 0.000 14.906
1.941 -1.121 11.888
0.000 2.242 11.888
```

Properties
Space group = R-3m (166)
N(E_F) = 0.37 states/eV/atom
VASP energy = -102.1 eV per cell

No. 9
DFT (GGA-PBE) results for an optimized crystal structure of Tb2PrUS8.

Structure (POSCAR):
```
Tb2PrUS8
1.0
5.983 0.000 0.000
0.084 6.273 0.000
0.007 0.000 8.357
Tb Pr U S
2 1 1 8
Cartesian
0.088 6.272 2.033
5.986 0.001 6.325
3.037 3.137 4.179
3.033 3.137 0.000
1.536 2.316 1.899
1.543 2.311 6.461
1.615 5.283 8.354
1.768 5.824 4.179
4.305 0.449 4.178
4.458 0.990 0.003
4.530 3.962 1.896
4.538 3.958 6.458
```

Properties
Space group = P-1 (2)
N(E_F) = 0.13 states/eV/atom
VASP energy = -76.2 eV per cell

No. 10
DFT (GGA-PBE) results for an optimized crystal structure of TbPrY2S4.

Structure (POSCAR):
```
TbPrY2S4
1.0
6.896 0.000 0.000
0.000 3.926 0.000
-2.241 0.000 6.535
Tb Pr Y S
1 1 2 4
Cartesian
0.000 0.000 0.000
3.448 1.963 0.000
-1.121 1.963 3.267
2.327 0.000 3.267
-0.009 0.000 4.822
1.115 1.963 1.675
3.539 1.963 4.860
4.663 0.000 1.712
```

Properties
Space group = P2/m (10)
N(E_F) = 0.59 states/eV/atom
VASP energy = -54.8 eV per cell

No. 11
DFT (GGA-PBE) results for an optimized crystal structure of Tb2PrY3S6.

Structure (POSCAR):
```
Tb2PrY3S6
1.0
3.416 -5.938 0.000
3.416 5.938 0.000
-2.283 0.000 6.459
Tb Pr Y S
2 1 3 6
Cartesian
3.416 3.967 0.000
3.416 -3.967 0.000
3.416 0.000 0.000
-1.141 0.000 3.230
2.275 1.926 3.230
2.275 -1.926 3.230
-0.037 2.037 4.798
1.073 0.000 1.642
-0.037 -2.037 4.798
4.586 2.037 1.661
3.476 0.000 4.818
4.586 -2.037 1.661
```

Properties
Space group = C2/m (12)
N(E_F) = 0.42 states/eV/atom
VASP energy = -82.3 eV per cell

No. 12
DFT (GGA-PBE) results for an optimized crystal structure of Tb2Pr3YS6.

Structure (POSCAR):
```
Tb2Pr3YS6
1.0
3.448 -5.991 0.000
3.448 5.991 0.000
-2.306 0.000 6.648
Tb Pr Y S
2 3 1 6
Cartesian
3.448 3.994 0.000
3.448 -3.994 0.000
-1.153 0.000 3.324
2.295 2.000 3.324
2.295 -2.000 3.324
3.448 0.000 0.000
-0.003 1.993 5.101
1.151 0.000 1.549
-0.003 -1.993 5.101
4.592 1.993 1.547
3.438 0.000 5.099
4.592 -1.993 1.547
```

Properties
Space group = C2/m (12)
N(E_F) = 0.45 states/eV/atom
VASP energy = -79.1 eV per cell

No. 13
DFT (GGA-PBE) results for an optimized crystal structure of Tb3Pr4YS8.

Structure (POSCAR):
```
Tb3Pr4YS8
1.0
3.984 2.300 6.671
-3.984 2.300 6.671
0.000 -4.600 6.671
Tb Pr Y S
3 4 1 8
Cartesian
-1.992 -1.150 6.671
-1.992 1.150 13.342
0.000 2.300 6.671
-3.984 0.000 10.007
-1.992 1.150 3.336
1.992 1.150 3.336
0.000 0.000 10.007
0.000 0.000 0.000
0.000 -2.303 8.218
-1.995 1.152 8.218
0.000 0.000 5.122
-1.995 -1.152 11.795
1.995 1.152 8.218
0.000 0.000 14.892
1.995 -1.152 11.795
0.000 2.303 11.795
```

Properties
Space group = R-3m (166)
N(E_F) = 0.45 states/eV/atom
VASP energy = -104.8 eV per cell

No. 14
DFT (GGA-PBE) results for an optimized crystal structure of TbPr2YS6.

Structure (POSCAR):
```
TbPr2YS6
1.0
3.552 2.051 6.223
-3.552 2.051 6.223
0.000 -4.102 6.223
Tb Pr Y S
1 2 1 6
Cartesian
0.000 0.000 0.000
0.000 0.000 5.470
0.000 0.000 14.807
0.000 0.000 9.329
-0.934 -1.887 7.508
-2.379 -0.297 10.617
-1.167 1.752 7.508
1.446 -1.912 10.617
2.101 0.134 7.508
0.933 2.209 10.617
```

Properties
Space group = R3 (146)
N(E_F) = 0.00 states/eV/atom
VASP energy = -65.7 eV per cell

No. 15
DFT (GGA-PBE) results for an optimized crystal structure of TbPr3Y2S6.

Structure (POSCAR):
```
TbPr3Y2S6
1.0
3.445 -5.987 0.000
3.445 5.987 0.000
-2.305 0.000 6.650
Tb Pr Y S
1 3 2 6
Cartesian
0.000 0.000 0.000
2.293 3.994 3.325
2.293 0.000 3.325
2.293 -3.994 3.325
3.445 1.995 0.000
3.445 -1.995 0.000
1.148 1.999 1.547
-0.001 0.000 5.104
1.148 -1.999 1.547
3.438 1.999 5.103
4.587 0.000 1.546
3.438 -1.999 5.103
```

Properties
Space group = C2/m (12)
N(E_F) = 0.45 states/eV/atom
VASP energy = -80.9 eV per cell

No. 16
DFT (GGA-PBE) results for an optimized crystal structure of Tb3Pr2YS6.

Structure (POSCAR):
```
Tb3Pr2YS6
1.0
8.689 -1.983 0.000
8.689 1.983 0.000
-1.899 0.000 7.802
Tb Pr Y S
3 2 1 6
Cartesian
0.000 0.000 0.000
4.489 0.000 5.203
10.991 0.000 2.599
5.466 0.000 1.285
10.013 0.000 6.517
-0.949 0.000 3.901
2.650 0.000 0.723
1.787 0.000 4.460
7.198 0.000 5.828
8.281 0.000 1.974
13.692 0.000 3.342
12.829 0.000 7.079
```

Properties
Space group = C2/m (12)
N(E_F) = 0.43 states/eV/atom
VASP energy = -78.8 eV per cell

No. 17
DFT (GGA-PBE) results for an optimized crystal structure of TbPr2Y3S6.

Structure (POSCAR):
```
TbPr2Y3S6
1.0
8.689 -1.979 0.000
8.689 1.979 0.000
-1.922 0.000 7.797
Tb Pr Y S
1 2 3 6
Cartesian
0.000 0.000 0.000
4.502 0.000 5.184
10.954 0.000 2.613
-0.961 0.000 3.898
5.436 0.000 1.299
10.021 0.000 6.498
1.681 0.000 4.626
2.745 0.000 0.555
8.137 0.000 1.934
7.320 0.000 5.863
12.712 0.000 7.242
13.775 0.000 3.171
```

Properties
Space group = C2/m (12)
N(E_F) = 0.44 states/eV/atom
VASP energy = -82.4 eV per cell

No. 18
DFT (GGA-PBE) results for an optimized crystal structure of TbPr4Y3S8.

Structure (POSCAR):
```
TbPr4Y3S8
1.0
3.977 2.296 6.682
-3.977 2.296 6.682
0.000 -4.592 6.682
Tb Pr Y S
1 4 3 8
Cartesian
0.000 0.000 0.000
-3.977 0.000 10.022
-1.989 1.148 3.341
1.989 1.148 3.341
0.000 0.000 10.022
-1.989 -1.148 6.682
-1.989 1.148 13.363
0.000 2.296 6.682
0.000 -2.293 8.228
-1.986 1.146 8.228
0.000 0.000 5.137
-1.986 -1.146 11.816
1.986 1.146 8.228
0.000 0.000 14.908
1.986 -1.146 11.816
0.000 2.293 11.816
```

Properties
Space group = R-3m (166)
N(E_F) = 0.46 states/eV/atom
VASP energy = -108.4 eV per cell

No. 19
DFT (GGA-PBE) results for an optimized crystal structure of Tb3Pr3YS8.

Structure (POSCAR):
```
Tb3Pr3YS8
1.0
3.982 2.299 6.616
-3.982 2.299 6.616
0.000 -4.598 6.616
Tb Pr Y S
3 3 1 8
Cartesian
-1.991 -1.149 6.616
-1.991 1.149 13.231
0.000 2.299 6.616
-3.982 0.000 9.923
-1.991 1.149 3.308
1.991 1.149 3.308
0.000 0.000 0.000
0.000 -2.291 8.172
-1.984 1.145 8.172
0.000 0.000 5.067
-1.984 -1.145 11.674
1.984 1.145 8.172
0.000 0.000 14.780
1.984 -1.145 11.674
0.000 2.291 11.674
```

Properties
Space group = R-3m (166)
N(E_F) = 0.47 states/eV/atom
VASP energy = -98.5 eV per cell

No. 20
DFT (GGA-PBE) results for an optimized crystal structure of Tb4PrYS8.

Structure (POSCAR):
```
Tb4PrYS8
1.0
4.069 2.349 6.640
-4.069 2.349 6.640
0.000 -4.699 6.640
Tb Pr Y S
4 1 1 8
Cartesian
0.000 0.000 0.000
0.000 -2.365 10.797
-2.048 1.182 10.797
2.048 1.182 10.797
0.000 0.000 14.942
0.000 0.000 7.458
0.000 0.000 2.630
0.000 -2.213 5.770
-1.917 1.107 5.770
-1.848 -1.067 9.204
1.917 1.107 5.770
1.848 -1.067 9.204
0.000 2.134 9.204
0.000 0.000 12.226
```

Properties
Space group = R3m (160)
N(E_F) = 0.59 states/eV/atom
VASP energy = -89.8 eV per cell